[1]
Below is a relaxed Tm2TiPt9 crystal, with properties calculated at the GGA-PBE level.

Summary:
Symmetry   P4/mmm, No. 123
Formation energy   -1.030 eV/atom

```
Tm2TiPt9
1.0
-3.8671 0.1466 -1.1748
-0.9880 -2.6108 2.9263
-1.9563 9.2519 7.5938
Pt Tm Ti
9 2 1
Direct
0.0000 0.5000 0.8446
0.5000 0.0000 0.8446
0.5000 0.0000 0.5000
0.5000 0.0000 0.1554
0.5000 0.5000 0.3279
0.5000 0.5000 0.6721
0.0000 0.5000 0.1554
0.5000 0.5000 0.0000
0.0000 0.5000 0.5000
0.0000 0.0000 0.3313
0.0000 0.0000 0.6687
0.0000 0.0000 0.0000
```

***

[2]
Below is a relaxed Li4PrNp3O12 crystal, with properties calculated at the GGA-PBE level.

Summary:
Symmetry   R32, No. 155
Uncorrected energy   -8.15 eV/atom

```
Li4PrNp3O12
1.0
6.9374 -0.1516 -0.2106
-1.8186 6.6965 -0.2106
-1.8186 -2.3253 6.2833
O Pr Li Np
12 1 4 3
Direct
0.7634 0.0292 0.6643
0.5000 0.3351 0.6649
0.6649 0.5000 0.3351
0.2366 0.3357 0.9708
0.5000 0.1066 0.8934
0.0292 0.6643 0.7634
0.3357 0.9708 0.2366
0.8934 0.5000 0.1066
0.1066 0.8934 0.5000
0.3351 0.6649 0.5000
0.6643 0.7634 0.0292
0.9708 0.2366 0.3357
0.0000 0.0000 0.0000
0.5000 0.9373 0.0627
0.0627 0.5000 0.9373
0.5000 0.5000 0.5000
0.9373 0.0627 0.5000
0.4446 0.0000 0.5554
0.0000 0.5554 0.4446
0.5554 0.4446 0.0000
```

***

[3]
Below is a relaxed Cd3Ag4Au crystal, with properties calculated at the GGA-PBE level.

Summary:
Symmetry   Pmma, No. 51
Formation energy   -0.069 eV/atom

```
Cd3Ag4Au
1.0
5.1977 0.0000 0.0000
0.0000 5.9603 0.0000
0.0000 0.0000 9.7771
Ag Cd Au
8 6 2
Direct
0.1677 0.2522 0.7500
0.5000 0.7476 0.0000
0.5000 0.2524 0.0000
0.1677 0.7478 0.7500
0.8323 0.7478 0.2500
0.5000 0.2524 0.5000
0.5000 0.7476 0.5000
0.8323 0.2522 0.2500
0.3309 0.5000 0.2500
0.0000 0.0000 0.0000
0.6691 0.5000 0.7500
0.6548 0.0000 0.7500
0.0000 0.0000 0.5000
0.3452 0.0000 0.2500
0.0000 0.5000 0.5000
0.0000 0.5000 0.0000
```

***

[4]
Below is a relaxed LaSBr2F crystal, with properties calculated at the GGA-PBE level.

Summary:
Symmetry   Cm, No. 8
Excess energy over the best structure of this formula in the dataset   0.0 kJ per mole of atoms

```
LaSBr2F
1.0
-4.7975 -5.4683 -5.3452
3.7670 -1.8202 -1.5189
0.7634 -3.6094 6.2187
Br F La S
4 2 2 2
Direct
0.7039 0.5000 0.4573
0.0668 0.0000 0.8811
0.7039 0.0000 0.9573
0.0668 0.5000 0.3811
0.2910 0.5000 0.7858
0.2910 0.0000 0.2858
0.2942 0.0000 0.6300
0.2942 0.5000 0.1300
0.4885 0.0000 0.0460
0.4885 0.5000 0.5460
```

***

| no. | total magnetization (μB per atom) | Fermi-level density of states (states/eV per atom) |
| --- | --- | --- |
| 1 | 0.00 | 0.638 |
| 2 | 0.20 | 0.386 |
| 3 | 0.00 | 0.254 |
| 4 | 0.00 | 0.000 |